Record 1
## BaCdNiSn2 (PBE)

Data for crystalline BaCdNiSn2 at its relaxed geometry.

Values from the calculation:
Calculated total energy, eV per atom: -3.594
Energy of formation from the pure elements, eV/atom: -0.27
Crystal system: tetragonal

Cell: 5.1228 5.1228 5.1557 Å, 90.00 90.00 90.00°
With the nearest neighbours (Å) after each atom.
Space group P4/mmm (No. 123)
One atom of each set of equivalent atoms:
Ba 0.0000 0.0000 0.0000  4 Cd 3.62, 8 Sn 3.63
Cd 0.5000 0.5000 0.0000  2 Ni 2.58
Ni 0.5000 0.5000 0.5000  4 Sn 2.56, 2 Cd 2.58
Sn 0.0000 0.5000 0.5000  2 Ni 2.56

Record 2
## Na6SrAg6 (PBE)

Data for crystalline Na6SrAg6 at its relaxed geometry.

Values from the calculation:
Calculated total energy, eV per atom: -2.110
Energy of formation from the pure elements, eV/atom: -0.06
Crystal system: orthorhombic

Cell: 5.7350 10.4393 10.5448 Å, 90.00 90.00 90.00°
With the nearest neighbours (Å) after each atom.
Space group Immm (No. 71)
One atom of each set of equivalent atoms:
Na 0.0000 0.0000 0.1628  6 Ag 3.12, 1 Na 3.43
Na 0.0000 0.3007 0.0000  6 Ag 3.05-3.11, 2 Na 3.28
Na 0.0000 0.3526 0.5000  3 Na 3.08-3.28, 6 Ag 3.19-3.33
Sr 0.0000 0.0000 0.5000  8 Na 3.54-3.68, 4 Ag 3.69
Ag 0.0000 0.5000 0.2198  4 Ag 2.99, 6 Na 3.11-3.33
Ag 0.2500 0.2500 0.2500  4 Ag 2.87-2.99, 6 Na 3.05-3.19

Record 3
## CrWC2 (PBE)

Data for crystalline CrWC2 at its relaxed geometry.

Values from the calculation:
Calculated total energy, eV per atom: -9.527
Energy of formation from the pure elements, eV/atom: 0.73
Crystal system: cubic
Energy above the most stable polymorph in this dataset, meV per atom: 246.6

Cell: 5.2733 5.2733 5.2733 Å, 90.00 90.00 90.00°
With the nearest neighbours (Å) after each atom.
Space group Fm-3m (No. 225)
One atom of each set of equivalent atoms:
Cr 0.0000 0.0000 0.0000  8 C 2.28
W 0.0000 0.0000 0.5000  8 C 2.28
C 0.2500 0.2500 0.2500  4 Cr 2.28, 4 W 2.28

Record 4
## CrOsS (PBE)

Data for crystalline CrOsS at its relaxed geometry.

Values from the calculation:
Calculated total energy, eV per atom: -8.223
Crystal system: tetragonal
Formation energy without anion corrections, eV per atom: 0.104

Cell: 2.8714 2.8714 9.3309 Å, 90.00 90.00 90.00°
With the nearest neighbours (Å) after each atom.
Space group P4/nmm (No. 129, origin choice 2)
One atom of each set of equivalent atoms:
Cr 0.2500 0.2500 0.0970  4 S 2.28
Os 0.2500 0.2500 0.4117  8 Os 2.61-2.87, 4 S 2.78
S 0.2500 0.2500 0.7922  4 Cr 2.28

Record 5
## Ce2ThAlSi2 (PBE)

Data for crystalline Ce2ThAlSi2 at its relaxed geometry.

Values from the calculation:
Calculated total energy, eV per atom: -5.517
Crystal system: tetragonal
Formation energy without anion corrections, eV per atom: 0.129

Cell: 4.2968 4.2968 17.2001 Å, 90.00 90.00 90.00°
With the nearest neighbours (Å) after each atom.
Space group I4/mmm (No. 139)
One atom of each set of equivalent atoms:
Ce 0.0000 0.5000 0.2500  4 Si 2.94, 4 Ce 3.04
Th 0.0000 0.0000 0.0000  4 Al 3.04
Al 0.0000 0.0000 0.5000  2 Si 2.29
Si 0.0000 0.0000 0.3667  1 Al 2.29

Record 6
## InSn5Au4 (PBE)

Data for crystalline InSn5Au4 at its relaxed geometry.

Values from the calculation:
Calculated total energy, eV per atom: -3.690
Energy of formation from the pure elements, eV/atom: -0.10
Crystal system: monoclinic
Energy above the most stable polymorph in this dataset, meV per atom: 25.5

Cell: 15.8092 4.3064 7.5235 Å, 90.00 102.38 90.00°
With the nearest neighbours (Å) after each atom.
Space group C2/m (No. 12)
One atom of each set of equivalent atoms:
In 0.0000 0.0000 0.0000  6 Au 2.85-2.91
Sn 0.0000 0.0000 0.5000  6 Au 2.95-3.03
Sn 0.1698 0.5000 0.5525  4 Au 2.86-2.89
Sn 0.1832 0.5000 0.0704  3 Au 2.81-2.89
Au 0.0418 0.5000 0.7724  4 Sn 2.81-2.95, 2 In 2.91
Au 0.1461 0.0000 0.2974  1 In 2.85, 6 Sn 2.86-3.03

Record 7
## PuZrNp2P4 (PBE)

Data for crystalline PuZrNp2P4 at its relaxed geometry.

Values from the calculation:
Calculated total energy, eV per atom: -9.886
Energy of formation from the pure elements, eV/atom: -1.09
Crystal system: monoclinic

Cell: 6.7529 3.8946 6.7993 Å, 90.00 109.17 90.00°
With the nearest neighbours (Å) after each atom.
Space group P2/m (No. 10)
One atom of each set of equivalent atoms:
Pu 0.0000 0.0000 0.0000  6 P 2.77
Zr 0.5000 0.5000 0.0000  6 P 2.71-2.72
Np 0.0000 0.5000 0.5000  6 P 2.81-2.82
Np 0.5000 0.0000 0.5000  6 P 2.76
P 0.2563 0.5000 0.2465  1 Zr 2.71, 3 Np 2.76-2.82, 2 Pu 2.77
P 0.2585 0.0000 0.7574  2 Zr 2.72, 3 Np 2.76-2.81, 1 Pu 2.77

Record 8
## Sm3Ga6Au5 (PBE)

Data for crystalline Sm3Ga6Au5 at its relaxed geometry.

Values from the calculation:
Calculated total energy, eV per atom: -4.111
Energy of formation from the pure elements, eV/atom: -0.63
Crystal system: orthorhombic

Cell: 4.4431 13.1060 9.6662 Å, 90.00 90.00 90.00°
With the nearest neighbours (Å) after each atom.
Space group Pmmn (No. 59, origin choice 2)
One atom of each set of equivalent atoms:
Sm 0.2500 0.0525 0.2490  7 Ga 3.13-3.35, 7 Au 3.21-3.43
Sm 0.2500 0.7500 0.2525  6 Au 3.20-3.24, 6 Ga 3.30-3.39
Ga 0.2500 0.0833 0.8867  4 Au 2.59-2.74, 1 Ga 2.71
Ga 0.2500 0.2500 0.0520  2 Ga 2.71, 4 Au 2.85
Ga 0.2500 0.2500 0.4441  4 Au 2.63-2.78
Ga 0.2500 0.6003 0.5273  4 Au 2.64-2.77
Au 0.2500 0.0964 0.6197  5 Ga 2.59-2.73
Au 0.2500 0.6151 0.9759  5 Ga 2.62-2.85
Au 0.2500 0.7500 0.7288  6 Ga 2.77-3.07, 2 Au 2.97